## TiFe2O4 (PBE with a Hubbard U)

Data for a geometry-optimized TiFe2O4 structure.

Raw total energy ... -51.195 eV/f.u.
Magnetic moment ... 0.036 μB per atom

```
TiFe2O4
1.0
5.219 -3.034 0.000
5.219 3.034 0.000
-3.654 0.000 19.732
Ti Fe O
8 16 32
Direct
0.000 0.000 0.000
0.129 0.129 0.875
0.256 0.256 0.751
0.384 0.384 0.625
0.403 0.403 0.225
0.506 0.506 0.498
0.640 0.640 0.376
0.873 0.873 0.126
0.072 0.072 0.285
0.120 0.618 0.380
0.123 0.623 0.882
0.157 0.157 0.474
0.331 0.331 0.036
0.365 0.871 0.132
0.379 0.879 0.631
0.582 0.582 0.784
0.618 0.120 0.380
0.623 0.123 0.882
0.656 0.656 0.977
0.745 0.745 0.256
0.841 0.841 0.539
0.871 0.365 0.132
0.879 0.379 0.631
0.912 0.912 0.727
0.044 0.044 0.184
0.056 0.568 0.191
0.083 0.083 0.695
0.096 0.536 0.694
0.151 0.712 0.068
0.161 0.161 0.068
0.205 0.205 0.578
0.221 0.665 0.569
0.281 0.839 0.944
0.299 0.299 0.935
0.331 0.331 0.445
0.336 0.777 0.440
0.409 0.967 0.819
0.416 0.416 0.819
0.440 0.440 0.318
0.450 0.914 0.322
0.536 0.096 0.694
0.557 0.557 0.684
0.559 0.559 0.193
0.568 0.056 0.191
0.665 0.221 0.569
0.666 0.666 0.566
0.692 0.692 0.080
0.712 0.151 0.068
0.777 0.336 0.440
0.799 0.799 0.437
0.826 0.826 0.945
0.839 0.281 0.944
0.913 0.913 0.323
0.914 0.450 0.322
0.948 0.948 0.829
0.967 0.409 0.819
```

=====

## Ti3Fe9O16 (PBE with a Hubbard U)

Data for a geometry-optimized Ti3Fe9O16 structure.

Raw total energy ... -207.633 eV/f.u.
Magnetic moment ... 1.357 μB per atom

```
Ti3Fe9O16
1.0
6.058 0.000 0.000
-2.920 10.122 0.000
-0.073 -1.653 10.540
Ti Fe O
6 18 32
Direct
0.000 0.000 0.000
0.000 0.500 0.500
0.250 0.003 0.257
0.252 0.506 0.754
0.748 0.494 0.246
0.750 0.997 0.743
0.000 0.000 0.500
0.074 0.681 0.033
0.126 0.751 0.374
0.164 0.820 0.715
0.254 0.502 0.251
0.341 0.186 0.784
0.380 0.254 0.126
0.409 0.320 0.471
0.500 0.000 0.000
0.500 0.000 0.500
0.500 0.500 0.000
0.591 0.680 0.529
0.620 0.746 0.874
0.659 0.814 0.216
0.746 0.498 0.749
0.836 0.180 0.285
0.874 0.249 0.626
0.926 0.319 0.967
0.044 0.114 0.699
0.049 0.619 0.204
0.063 0.610 0.675
0.065 0.106 0.172
0.176 0.392 0.572
0.190 0.894 0.061
0.193 0.880 0.543
0.218 0.387 0.078
0.282 0.607 0.432
0.294 0.612 0.915
0.299 0.115 0.944
0.305 0.117 0.411
0.424 0.377 0.803
0.428 0.884 0.299
0.463 0.390 0.303
0.472 0.891 0.826
0.528 0.109 0.174
0.537 0.610 0.697
0.572 0.116 0.701
0.576 0.623 0.197
0.695 0.883 0.589
0.701 0.885 0.056
0.706 0.388 0.085
0.718 0.393 0.568
0.782 0.613 0.922
0.807 0.120 0.457
0.810 0.106 0.939
0.824 0.608 0.428
0.935 0.894 0.828
0.937 0.390 0.325
0.951 0.381 0.796
0.956 0.886 0.301
```

=====

## TiFeO2 (PBE with a Hubbard U)

Data for a geometry-optimized TiFeO2 structure.

Raw total energy ... -29.029 eV/f.u.
Magnetic moment ... 0.500 μB per atom

```
TiFeO2
1.0
0.000 2.658 2.658
2.658 0.000 2.658
2.658 2.658 0.000
Ti Fe O
1 1 2
Direct
0.000 0.000 0.000
0.500 0.500 0.500
0.250 0.250 0.250
0.750 0.750 0.750
```

=====

## Ti5Fe7O18 (PBE with a Hubbard U)

Data for a geometry-optimized Ti5Fe7O18 structure.

Raw total energy ... -233.698 eV/f.u.
Magnetic moment ... 0.867 μB per atom

```
Ti5Fe7O18
1.0
5.578 0.000 0.000
-0.860 7.508 0.000
-2.394 -3.730 7.690
Ti Fe O
5 7 18
Direct
0.000 0.000 0.000
0.074 0.957 0.334
0.335 0.333 0.676
0.650 0.653 0.321
0.749 0.621 0.666
0.081 0.454 0.336
0.332 0.835 0.673
0.390 0.297 0.996
0.415 0.796 0.999
0.655 0.167 0.327
0.742 0.114 0.660
0.982 0.492 0.999
0.092 0.257 0.448
0.108 0.275 0.093
0.120 0.293 0.794
0.275 0.985 0.202
0.296 0.005 0.894
0.316 0.017 0.556
0.407 0.590 0.106
0.426 0.610 0.750
0.461 0.643 0.468
0.619 0.324 0.867
0.643 0.348 0.577
0.652 0.366 0.224
0.735 0.923 0.782
0.758 0.941 0.417
0.787 0.962 0.125
0.967 0.666 0.546
0.970 0.678 0.245
0.993 0.694 0.886
```

=====

## Ti3Fe3O (PBE with a Hubbard U)

Data for a geometry-optimized Ti3Fe3O structure.

Raw total energy ... -48.038 eV/f.u.
Magnetic moment ... 0.958 μB per atom

```
Ti3Fe3O
1.0
0.000 5.739 5.739
5.739 0.000 5.739
5.739 5.739 0.000
Ti Fe O
12 12 4
Direct
0.059 0.059 0.691
0.059 0.691 0.059
0.059 0.691 0.691
0.309 0.309 0.941
0.309 0.941 0.309
0.309 0.941 0.941
0.691 0.059 0.059
0.691 0.059 0.691
0.691 0.691 0.059
0.941 0.309 0.309
0.941 0.309 0.941
0.941 0.941 0.309
0.000 0.500 0.500
0.291 0.291 0.291
0.291 0.291 0.626
0.291 0.626 0.291
0.374 0.709 0.709
0.500 0.000 0.500
0.500 0.500 0.000
0.500 0.500 0.500
0.626 0.291 0.291
0.709 0.374 0.709
0.709 0.709 0.374
0.709 0.709 0.709
0.000 0.000 0.000
0.000 0.000 0.500
0.000 0.500 0.000
0.500 0.000 0.000
```

=====

## Ti3FeO7 (PBE with a Hubbard U)

Data for a geometry-optimized Ti3FeO7 structure.

Raw total energy ... -91.720 eV/f.u.
Magnetic moment ... 0.364 μB per atom

```
Ti3FeO7
1.0
-1.440 5.537 3.139
1.440 -5.537 3.139
1.440 5.537 -3.139
Ti Fe O
3 1 7
Direct
0.000 0.000 0.000
0.460 0.208 0.252
0.956 0.208 0.748
0.475 0.975 0.500
0.084 0.691 0.393
0.084 0.902 0.182
0.298 0.691 0.607
0.372 0.529 0.843
0.686 0.529 0.157
0.720 0.902 0.818
0.801 0.301 0.500
```

=====

## TiFeO2 (PBE with a Hubbard U)

Data for a geometry-optimized TiFeO2 structure.

Raw total energy ... -30.241 eV/f.u.
Magnetic moment ... 0.537 μB per atom

```
TiFeO2
1.0
-2.305 2.305 4.863
2.305 -2.305 4.863
2.305 2.305 -4.863
Ti Fe O
2 2 4
Direct
0.000 0.000 0.000
0.750 0.250 0.500
0.250 0.750 0.500
0.500 0.500 0.000
0.101 0.625 0.976
0.375 0.351 0.476
0.649 0.125 0.024
0.875 0.899 0.524
```

=====

## TiFe2O2 (PBE with a Hubbard U)

Data for a geometry-optimized TiFe2O2 structure.

Raw total energy ... -31.683 eV/f.u.
Magnetic moment ... 1.199 μB per atom

```
TiFe2O2
1.0
-1.925 1.925 4.240
1.925 -1.925 4.240
1.925 1.925 -4.240
Ti Fe O
1 2 2
Direct
0.000 0.000 0.000
0.345 0.345 0.000
0.655 0.655 0.000
0.250 0.750 0.500
0.750 0.250 0.500
```

=====

## Ti2FeO4 (PBE with a Hubbard U)

Data for a geometry-optimized Ti2FeO4 structure.

Raw total energy ... -57.123 eV/f.u.
Magnetic moment ... 0.288 μB per atom

```
Ti2FeO4
1.0
-3.554 3.554 2.961
3.554 -3.554 2.961
3.554 3.554 -2.961
Ti Fe O
4 2 8
Direct
0.092 0.125 0.467
0.375 0.908 0.033
0.658 0.625 0.533
0.875 0.342 0.967
0.250 0.750 0.500
0.500 0.500 0.000
0.089 0.811 0.183
0.094 0.911 0.721
0.122 0.439 0.779
0.189 0.372 0.279
0.561 0.339 0.683
0.628 0.906 0.817
0.656 0.878 0.317
0.661 0.344 0.221
```

=====

## Ti2Fe4O9 (PBE with a Hubbard U)

Data for a geometry-optimized Ti2Fe4O9 structure.

Raw total energy ... -112.083 eV/f.u.
Magnetic moment ... 0.800 μB per atom

```
Ti2Fe4O9
1.0
4.882 -2.550 0.000
4.882 2.550 0.000
-0.595 0.000 12.700
Ti Fe O
4 8 18
Direct
0.002 0.998 0.500
0.654 0.681 0.819
0.681 0.654 0.319
0.998 0.002 0.000
0.027 0.052 0.728
0.052 0.027 0.228
0.315 0.330 0.658
0.330 0.315 0.158
0.380 0.395 0.891
0.395 0.380 0.391
0.713 0.722 0.555
0.722 0.713 0.055
0.013 0.278 0.583
0.065 0.434 0.791
0.086 0.736 0.618
0.170 0.557 0.028
0.225 0.832 0.871
0.278 0.013 0.083
0.359 0.590 0.252
0.391 0.748 0.450
0.434 0.065 0.291
0.495 0.910 0.700
0.557 0.170 0.528
0.590 0.359 0.752
0.653 0.956 0.911
0.736 0.086 0.118
0.748 0.391 0.950
0.832 0.225 0.371
0.910 0.495 0.200
0.956 0.653 0.411
```

=====

## Ti3FeO (PBE with a Hubbard U)

Data for a geometry-optimized Ti3FeO structure.

Raw total energy ... -29.015 eV/f.u.
Magnetic moment ... 0.000 μB per atom

```
Ti3FeO
1.0
4.406 0.000 0.000
0.000 4.406 0.000
0.000 0.000 4.406
Ti Fe O
3 1 1
Direct
0.000 0.000 0.500
0.000 0.500 0.000
0.500 0.000 0.000
0.000 0.000 0.000
0.500 0.500 0.500
```

=====

## TiFe2O4 (PBE with a Hubbard U)

Data for a geometry-optimized TiFe2O4 structure.

Raw total energy ... -52.682 eV/f.u.
Magnetic moment ... 1.204 μB per atom

```
TiFe2O4
1.0
9.980 0.000 0.000
0.000 2.942 0.000
0.000 0.000 9.894
Ti Fe O
4 8 16
Direct
0.071 0.000 0.130
0.429 0.000 0.130
0.571 0.000 0.870
0.929 0.000 0.870
0.075 0.500 0.627
0.250 0.000 0.389
0.250 0.500 0.872
0.425 0.500 0.627
0.575 0.500 0.373
0.750 0.000 0.611
0.750 0.500 0.128
0.925 0.500 0.373
0.000 0.000 0.500
0.000 0.500 0.000
0.109 0.000 0.788
0.115 0.500 0.261
0.250 0.000 0.043
0.250 0.500 0.535
0.385 0.500 0.261
0.391 0.000 0.788
0.500 0.000 0.500
0.500 0.500 0.000
0.609 0.000 0.212
0.615 0.500 0.739
0.750 0.000 0.957
0.750 0.500 0.465
0.885 0.500 0.739
0.891 0.000 0.212
```

=====

| no. | volume (Å³/cell) |
| --- | --- |
| 1 | 624.9 |
| 2 | 646.3 |
| 3 | 37.6 |
| 4 | 322.1 |
| 5 | 378.1 |
| 6 | 100.1 |
| 7 | 103.3 |
| 8 | 62.8 |
| 9 | 149.6 |
| 10 | 316.3 |
| 11 | 85.5 |
| 12 | 290.5 |